Record 1
## AlTlNi2 (PBE)

Data for crystalline AlTlNi2 at its relaxed geometry.

The space group is R3m (No. 160, hexagonal axes) and the conventional cell measures 3.0554, 3.0554 and 24.0978 Å, with angles of 90.00, 90.00 and 120.00 degrees. The distinct sites, in fractional coordinates, are Al at (0.0000, 0.0000, 0.0000), Tl at (0.0000, 0.0000, 0.7718), Ni at (0.0000, 0.0000, 0.2652) and Ni at (0.0000, 0.0000, 0.5264).

The offset from the most stable computed form comes out at 0.405 eV/atom. As for the formation enthalpy at 0 K: 280 meV/atom. Its spin magnetization is 0.1 μB per cell.



Record 2
## Al2TlNi (PBE)

Data for crystalline Al2TlNi at its relaxed geometry.

The space group is P4/mmm (No. 123) and the conventional cell measures 2.986, 2.986 and 8.089 Å, with angles of 90.00, 90.00 and 90.00 degrees. The distinct sites, in fractional coordinates, are Al at (0.000, 0.000, 0.172), Tl at (0.500, 0.500, 0.500) and Ni at (0.500, 0.500, 0.000).

The offset from the most stable computed form comes out at 0.000 eV/atom. As for the formation enthalpy at 0 K: -92 meV/atom. Its spin magnetization is 0.0 μB per cell.



Record 3
## Al2TlNi (PBE)

Data for crystalline Al2TlNi at its relaxed geometry.

The space group is I4/mmm (No. 139) and the conventional cell measures 4.064, 4.064 and 8.230 Å, with angles of 90.00, 90.00 and 90.00 degrees. The distinct sites, in fractional coordinates, are Al at (0.000, 0.500, 0.250), Tl at (0.000, 0.000, 0.000) and Ni at (0.000, 0.000, 0.500).

The offset from the most stable computed form comes out at 0.302 eV/atom. As for the formation enthalpy at 0 K: 210 meV/atom. Its spin magnetization is 0.0 μB per cell.



Record 4
## AlTl2Ni2 (PBE)

Data for crystalline AlTl2Ni2 at its relaxed geometry.

The space group is P4/mbm (No. 127) and the conventional cell measures 6.595, 6.595 and 4.023 Å, with angles of 90.00, 90.00 and 90.00 degrees. The distinct sites, in fractional coordinates, are Al at (0.000, 0.000, 0.000), Tl at (0.166, 0.334, 0.500) and Ni at (0.143, 0.643, 0.000).

As for the formation enthalpy at 0 K: 150 meV/atom. Its spin magnetization is 0.0 μB per cell.



Record 5
## AlTlNi2 (PBE)

Data for crystalline AlTlNi2 at its relaxed geometry.

The space group is Cm (No. 8) and the conventional cell measures 9.204, 3.077 and 4.365 Å, with angles of 90.00, 105.30 and 90.00 degrees. The distinct sites, in fractional coordinates, are Al at (0.000, 0.000, 0.000), Tl at (0.270, 0.500, 0.364), Ni at (0.023, 0.500, 0.559) and Ni at (0.270, 0.000, 0.864).

The offset from the most stable computed form comes out at 0.148 eV/atom. As for the formation enthalpy at 0 K: 23 meV/atom. Its spin magnetization is 0.0 μB per cell.



Record 6
## Al2TlNi (PBE)

Data for crystalline Al2TlNi at its relaxed geometry.

The space group is P2/m (No. 10) and the conventional cell measures 3.547, 4.179 and 5.262 Å, with angles of 90.00, 108.91 and 90.00 degrees. The distinct sites, in fractional coordinates, are Al at (0.161, 0.000, 0.286), Tl at (0.500, 0.500, 0.000) and Ni at (0.500, 0.500, 0.500).

The offset from the most stable computed form comes out at 0.221 eV/atom. As for the formation enthalpy at 0 K: 128 meV/atom. Its spin magnetization is 0.0 μB per cell.